Entry 1:
Entry from Alexandria: KSb2Ru at its PBEsol-relaxed geometry (SCAN).

Summary:
Formation energy without anion corrections   0.58 eV/atom
Energy relative to the lowest polymorph listed for this composition   787.1 meV per atom

```
data_KSb2Ru
_cell_length_a 6.2264
_cell_length_b 8.4891
_cell_length_c 3.2945
_cell_angle_alpha 90.00
_cell_angle_beta 90.76
_cell_angle_gamma 90.00
_symmetry_space_group_name_H-M 'C 1 2/m 1'
_symmetry_Int_Tables_number 12
loop_
_symmetry_equiv_pos_as_xyz
'x,y,z'
'-x,-y,-z'
'-x,y,-z'
'x,-y,z'
'x+1/2,y+1/2,z'
'-x+1/2,-y+1/2,-z'
'-x+1/2,y+1/2,-z'
'x+1/2,-y+1/2,z'
loop_
_atom_site_label
_atom_site_type_symbol
_atom_site_fract_x
_atom_site_fract_y
_atom_site_fract_z
K1 K 0.0000 0.0000 0.0000
Sb1 Sb 0.2500 0.2500 0.5000
Ru1 Ru 0.0000 0.5000 0.0000
```

=====

Entry 2:
Entry from Alexandria: Sr2LaAl at its PBEsol-relaxed geometry (SCAN).

Summary:
ΔH_f (0 K)   0.103 eV per atom

```
data_Sr2LaAl
_cell_length_a 3.7280
_cell_length_b 5.1820
_cell_length_c 7.1106
_cell_angle_alpha 90.00
_cell_angle_beta 91.45
_cell_angle_gamma 90.00
_symmetry_space_group_name_H-M 'P 1 2/m 1'
_symmetry_Int_Tables_number 10
loop_
_symmetry_equiv_pos_as_xyz
'x,y,z'
'-x,-y,-z'
'-x,y,-z'
'x,-y,z'
loop_
_atom_site_label
_atom_site_type_symbol
_atom_site_fract_x
_atom_site_fract_y
_atom_site_fract_z
Sr1 Sr 0.0123 0.0000 0.2704
La1 La 0.5000 0.5000 0.0000
Al1 Al 0.5000 0.5000 0.5000
```

=====

Entry 3:
Entry from Alexandria: TcMoSe2 at its PBEsol-relaxed geometry (SCAN).

Summary:
Formation energy without anion corrections   0.70 eV/atom
Energy relative to the lowest polymorph listed for this composition   0.0 meV per atom

```
data_TcMoSe2
_cell_length_a 3.0438
_cell_length_b 5.4105
_cell_length_c 7.9417
_cell_angle_alpha 90.00
_cell_angle_beta 90.00
_cell_angle_gamma 90.00
_symmetry_space_group_name_H-M 'C m m m'
_symmetry_Int_Tables_number 65
_symmetry_space_group_name_Hall '-C 2 2'
loop_
_atom_site_label
_atom_site_type_symbol
_atom_site_fract_x
_atom_site_fract_y
_atom_site_fract_z
Tc1 Tc 0.0000 0.0000 0.0000
Mo1 Mo 0.0000 0.0000 0.5000
Se1 Se 0.0000 0.5000 0.2469
```

=====

no.,D(E_F) (states/eV/cell)
1,6.49
2,3.70
3,7.97